Entry 1:
SiAuSe2 | GGA-PBEsol | optimized geometry

Cell lengths 3.0875, 4.5846, 10.5506 Å; angles 90.00, 90.00, 90.00 degrees
Closest atoms and distances in Å follow each position.
Positions (direct):
1 Si 0.0000 0.0000 0.0000  4 Se 2.74, 4 Si 2.76
2 Si 0.5000 0.5000 0.0000  4 Se 2.74, 4 Si 2.76
3 Au 0.0000 0.0000 0.5000  6 Au 2.76-3.09
4 Au 0.5000 0.5000 0.5000  6 Au 2.76-3.09
5 Se 0.0000 0.5000 0.2148  2 Si 2.74, 4 Se 2.76
6 Se 0.0000 0.5000 0.7852  2 Si 2.74, 4 Se 2.76
7 Se 0.5000 0.0000 0.2148  2 Si 2.74, 4 Se 2.76
8 Se 0.5000 0.0000 0.7852  2 Si 2.74, 4 Se 2.76

As for the electronic total energy: -3.97 eV per atom.

Entry 2:
SiAuSe2 | GGA-PBEsol | optimized geometry

Cell lengths 2.8144, 3.6059, 7.2882 Å; angles 90.00, 90.00, 90.00 degrees
Closest atoms and distances in Å follow each position.
Positions (direct):
1 Si 0.0000 0.0000 0.0000  2 Si 2.81, 8 Se 2.87
2 Au 0.0000 0.0000 0.5000  2 Au 2.81, 8 Se 2.98
3 Se 0.5000 0.5000 0.2389  2 Se 2.81, 4 Si 2.87, 4 Au 2.98
4 Se 0.5000 0.5000 0.7611  2 Se 2.81, 4 Si 2.87, 4 Au 2.98

As for the electronic total energy: -3.97 eV per atom.

Entry 3:
Si3AuSe | GGA-PBEsol | optimized geometry

Cell lengths 4.7173, 4.7173, 4.7173 Å; angles 90.00, 90.00, 90.00 degrees
Closest atoms and distances in Å follow each position.
Positions (direct):
1 Si 0.0000 0.0000 0.5000  2 Se 2.36
2 Si 0.0000 0.5000 0.0000  2 Se 2.36
3 Si 0.5000 0.0000 0.0000  2 Se 2.36
4 Au 0.5000 0.5000 0.5000  12 Si 3.34
5 Se 0.0000 0.0000 0.0000  6 Si 2.36

As for the electronic total energy: -3.88 eV per atom.

Entry 4:
Sn2AuSe2 | GGA-PBEsol | optimized geometry

Cell lengths 5.7872, 5.7872, 7.8475 Å; angles 90.00, 90.00, 90.00 degrees
Closest atoms and distances in Å follow each position.
Positions (direct):
1 Sn 0.0000 0.5000 0.2500  4 Se 2.93
2 Sn 0.0000 0.5000 0.7500  4 Se 2.93
3 Sn 0.5000 0.0000 0.2500  4 Se 2.93
4 Sn 0.5000 0.0000 0.7500  4 Se 2.93
5 Au 0.0000 0.0000 0.0000  2 Se 2.42
6 Au 0.5000 0.5000 0.5000  2 Se 2.42
7 Se 0.0000 0.0000 0.3089  1 Au 2.42
8 Se 0.0000 0.0000 0.6911  1 Au 2.42
9 Se 0.5000 0.5000 0.1911  1 Au 2.42
10 Se 0.5000 0.5000 0.8089  1 Au 2.42

As for the electronic total energy: -4.14 eV per atom.

Entry 5:
SrAu2Se | GGA-PBEsol | optimized geometry

Cell lengths 4.1073, 4.1073, 10.3859 Å; angles 90.00, 90.00, 90.00 degrees
Closest atoms and distances in Å follow each position.
Positions (direct):
1 Sr 0.0000 0.0000 0.0000  4 Se 2.90
2 Sr 0.5000 0.5000 0.5000  4 Se 2.90
3 Au 0.0000 0.5000 0.2500  4 Au 2.90
4 Au 0.0000 0.5000 0.7500  4 Au 2.90
5 Au 0.5000 0.0000 0.2500  4 Au 2.90
6 Au 0.5000 0.0000 0.7500  4 Au 2.90
7 Se 0.0000 0.0000 0.5000  4 Sr 2.90
8 Se 0.5000 0.5000 0.0000  4 Sr 2.90

As for the electronic total energy: -3.97 eV per atom.

Entry 6:
SrAu2Se | GGA-PBEsol | optimized geometry

Cell lengths 3.9956, 3.9956, 5.6852 Å; angles 90.00, 90.00, 90.00 degrees
Closest atoms and distances in Å follow each position.
Positions (direct):
1 Sr 0.0000 0.0000 0.0000  2 Se 2.84, 8 Au 3.17
2 Au 0.5000 0.5000 0.2520  2 Au 2.82-2.87, 4 Se 3.16
3 Au 0.5000 0.5000 0.7480  2 Au 2.82-2.87, 4 Se 3.16
4 Se 0.0000 0.0000 0.5000  2 Sr 2.84, 8 Au 3.16

As for the electronic total energy: -3.87 eV per atom.